This record from the Alexandria database describes a relaxed structure of Sr2MnC2. The functional is PBE-GGA.

Properties
- calculated formation energy (eV/atom) = 0.674
- energy above the lowest structure with this stoichiometry (meV per atom) = 0.0
- DOS at the Fermi energy (states/eV/atom) = 0.95
- total magnetic moment (μB per cell) = 1.8

a = 5.6533 Å, b = 5.6533 Å, c = 4.8846 Å
α = 54.64°, β = 54.64°, γ = 90.00°
Last column: nearest neighbours and their distance in Å.
Positions (direct):
1 Sr 0.2500 0.7500 0.5000  2 Sr 2.81, 4 C 2.92
2 Mn 0.0000 0.0000 0.0000  2 C 2.12
3 C 0.6225 0.6225 0.7549  1 C 1.38
4 Sr 0.7500 0.2500 0.5000  2 Sr 2.81, 4 C 2.92
5 C 0.3775 0.3775 0.2451  1 C 1.38

This record from the Alexandria database describes a relaxed structure of SrMn2C2. The functional is PBE-GGA.

Properties
- calculated formation energy (eV/atom) = -0.062
- DOS at the Fermi energy (states/eV/atom) = 0.76
- total magnetic moment (μB per cell) = 1.9

a = 3.5950 Å, b = 3.5950 Å, c = 5.8691 Å
α = 107.83°, β = 107.83°, γ = 90.00°
Last column: nearest neighbours and their distance in Å.
Positions (direct):
1 C 0.6808 0.6808 0.3616  4 Mn 1.94
2 Sr 0.0000 0.0000 0.0000  10 C 3.18-3.38, 8 Mn 3.20
3 C 0.3192 0.3192 0.6384  4 Mn 1.94
4 Mn 0.7500 0.2500 0.5000  4 C 1.94
5 Mn 0.2500 0.7500 0.5000  4 C 1.94

This record from the Alexandria database describes a relaxed structure of Ta2Mn21C6. The functional is PBE-GGA.

Properties
- calculated formation energy (eV/atom) = -0.121
- DOS at the Fermi energy (states/eV/atom) = 0.98
- total magnetic moment (μB per cell) = 17.1

a = 7.4444 Å, b = 7.4444 Å, c = 7.4444 Å
α = 60.00°, β = 60.00°, γ = 60.00°
Last column: nearest neighbours and their distance in Å.
Positions (direct):
1 Mn 0.1568 0.6144 0.6144  3 C 2.07
2 C 0.7253 0.2747 0.2747  8 Mn 2.07-2.09
3 Mn 0.6144 0.6144 0.1568  3 C 2.07
4 Mn 0.3856 0.3856 0.3856  3 C 2.07
5 Mn 0.6144 0.1568 0.6144  3 C 2.07
6 Mn 0.3330 0.0000 0.6670  2 C 2.09
7 Mn 0.6670 0.0000 0.3330  2 C 2.09
8 Mn 0.6144 0.6144 0.6144  3 C 2.07
9 Mn 0.8432 0.3856 0.3856  3 C 2.07
10 Mn 0.6670 0.0000 0.0000  2 C 2.09
11 C 0.2747 0.7253 0.2747  8 Mn 2.07-2.09
12 Mn 0.3330 0.0000 0.0000  2 C 2.09
13 Mn 0.3856 0.3856 0.8432  3 C 2.07
14 Mn 0.0000 0.3330 0.0000  2 C 2.09
15 Mn 0.0000 0.0000 0.0000  12 Mn 2.48
16 Mn 0.0000 0.6670 0.3330  2 C 2.09
17 C 0.7253 0.7253 0.2747  8 Mn 2.07-2.09
18 C 0.2747 0.7253 0.7253  8 Mn 2.07-2.09
19 C 0.7253 0.2747 0.7253  8 Mn 2.07-2.09
20 Mn 0.6670 0.3330 0.0000  2 C 2.09
21 C 0.2747 0.2747 0.7253  8 Mn 2.07-2.09
22 Mn 0.3856 0.8432 0.3856  3 C 2.07
23 Mn 0.0000 0.6670 0.0000  2 C 2.09
24 Mn 0.3330 0.6670 0.0000  2 C 2.09
25 Ta 0.7500 0.7500 0.7500  4 Mn 2.47
26 Mn 0.0000 0.0000 0.6670  2 C 2.09
27 Mn 0.0000 0.3330 0.6670  2 C 2.09
28 Ta 0.2500 0.2500 0.2500  4 Mn 2.47
29 Mn 0.0000 0.0000 0.3330  2 C 2.09

This record from the Alexandria database describes a relaxed structure of TaMnC. The functional is PBE-GGA.

Properties
- calculated formation energy (eV/atom) = -0.150
- DOS at the Fermi energy (states/eV/atom) = 0.79
- total magnetic moment (μB per cell) = 0.0

a = 3.0042 Å, b = 5.5977 Å, c = 8.2093 Å
α = 90.00°, β = 90.00°, γ = 90.00°
Last column: nearest neighbours and their distance in Å.
Positions (direct):
1 Ta 0.2500 0.1504 0.1196  4 C 2.16-2.32
2 Ta 0.7500 0.6504 0.3804  4 C 2.16-2.32
3 C 0.7500 0.6311 0.6633  2 Mn 2.03, 3 Ta 2.16-2.21
4 C 0.2500 0.3689 0.3367  2 Mn 2.03, 3 Ta 2.16-2.21
5 Ta 0.7500 0.8496 0.8804  4 C 2.16-2.32
6 Mn 0.7500 0.3622 0.8882  2 C 2.03
7 Ta 0.2500 0.3496 0.6196  4 C 2.16-2.32
8 Mn 0.2500 0.6378 0.1118  2 C 2.03
9 Mn 0.2500 0.8622 0.6118  2 C 2.03
10 Mn 0.7500 0.1378 0.3882  2 C 2.03
11 C 0.7500 0.8689 0.1633  2 Mn 2.03, 3 Ta 2.16-2.21
12 C 0.2500 0.1311 0.8367  2 Mn 2.03, 3 Ta 2.16-2.21